(1)
FeCuBAu | PBE-GGA | optimized geometry

abc: 4.0829 4.0829 4.0829
angles: 60.00 60.00 60.00
Closest atoms and distances in Å follow each position.
Element x y z (fractional)
B: 0.0000 0.0000 0.0000  4 Au 2.50, 4 Fe 2.50
Cu: 0.5000 0.5000 0.5000  4 Au 2.50, 4 Fe 2.50
Fe: 0.7500 0.7500 0.7500  4 B 2.50, 4 Cu 2.50
Au: 0.2500 0.2500 0.2500  4 Cu 2.50, 4 B 2.50

E = -19.562 eV per cell
space-group type = F-43m (216)
magnetic moment = 2.45 Bohr magnetons per cell

***

(2)
GaCuBAu | PBE-GGA | optimized geometry

abc: 4.2562 4.2562 4.2562
angles: 60.00 60.00 60.00
Closest atoms and distances in Å follow each position.
Element x y z (fractional)
Cu: 0.2500 0.2500 0.2500  4 B 2.61, 4 Ga 2.61
B: 0.5000 0.5000 0.5000  4 Au 2.61, 4 Cu 2.61
Ga: 0.0000 0.0000 0.0000  4 Cu 2.61, 4 Au 2.61
Au: 0.7500 0.7500 0.7500  4 B 2.61, 4 Ga 2.61

E = -13.919 eV per cell
space-group type = F-43m (216)

***

(3)
GaCuBAu | PBE-GGA | optimized geometry

abc: 4.2681 4.2681 4.2681
angles: 60.00 60.00 60.00
Closest atoms and distances in Å follow each position.
Element x y z (fractional)
Ga: 0.2500 0.2500 0.2500  4 Cu 2.61, 4 B 2.61
B: 0.0000 0.0000 0.0000  4 Au 2.61, 4 Ga 2.61
Au: 0.7500 0.7500 0.7500  4 Cu 2.61, 4 B 2.61
Cu: 0.5000 0.5000 0.5000  4 Ga 2.61, 4 Au 2.61

E = -13.913 eV per cell
space-group type = F-43m (216)

***

(4)
CuHgBAu | PBE-GGA | optimized geometry

abc: 4.4504 4.4504 4.4504
angles: 60.00 60.00 60.00
Closest atoms and distances in Å follow each position.
Element x y z (fractional)
Cu: 0.7500 0.7500 0.7500  4 Hg 2.73, 4 B 2.73
Au: 0.2500 0.2500 0.2500  4 Hg 2.73, 4 B 2.73
Hg: 0.5000 0.5000 0.5000  4 Cu 2.73, 4 Au 2.73
B: 0.0000 0.0000 0.0000  4 Cu 2.73, 4 Au 2.73

E = -10.179 eV per cell
space-group type = F-43m (216)

***

(5)
InCuBAu | PBE-GGA | optimized geometry

abc: 4.4144 4.4144 4.4144
angles: 60.00 60.00 60.00
Closest atoms and distances in Å follow each position.
Element x y z (fractional)
In: 0.2500 0.2500 0.2500  4 B 2.70, 4 Cu 2.70
Cu: 0.5000 0.5000 0.5000  4 Au 2.70, 4 In 2.70
Au: 0.7500 0.7500 0.7500  4 Cu 2.70, 4 B 2.70
B: 0.0000 0.0000 0.0000  4 In 2.70, 4 Au 2.70

E = -13.342 eV per cell
space-group type = F-43m (216)

***

(6)
LiCuBAu | PBE-GGA | optimized geometry

abc: 4.0120 4.0120 4.0120
angles: 60.00 60.00 60.00
Closest atoms and distances in Å follow each position.
Element x y z (fractional)
Li: 0.5000 0.5000 0.5000  4 Au 2.46, 4 Cu 2.46
Cu: 0.7500 0.7500 0.7500  4 B 2.46, 4 Li 2.46
Au: 0.2500 0.2500 0.2500  4 Li 2.46, 4 B 2.46
B: 0.0000 0.0000 0.0000  4 Cu 2.46, 4 Au 2.46

E = -14.587 eV per cell
space-group type = F-43m (216)

***

(7)
LuCuBAu | PBE-GGA | optimized geometry

abc: 4.4611 4.4611 4.4611
angles: 60.00 60.00 60.00
Closest atoms and distances in Å follow each position.
Element x y z (fractional)
Lu: 0.5000 0.5000 0.5000  4 Au 2.73, 4 Cu 2.73
Au: 0.2500 0.2500 0.2500  4 B 2.73, 4 Lu 2.73
Cu: 0.7500 0.7500 0.7500  4 B 2.73, 4 Lu 2.73
B: 0.0000 0.0000 0.0000  4 Au 2.73, 4 Cu 2.73

E = -17.059 eV per cell
space-group type = F-43m (216)
magnetic moment = 0.00 Bohr magnetons per cell

***

(8)
LuCuBAu | PBE-GGA | optimized geometry

abc: 4.3880 4.3880 4.3880
angles: 60.00 60.00 60.00
Closest atoms and distances in Å follow each position.
Element x y z (fractional)
Cu: 0.0000 0.0000 0.0000  4 Au 2.69, 4 Lu 2.69
Lu: 0.2500 0.2500 0.2500  4 B 2.69, 4 Cu 2.69
B: 0.5000 0.5000 0.5000  4 Au 2.69, 4 Lu 2.69
Au: 0.7500 0.7500 0.7500  4 B 2.69, 4 Cu 2.69

E = -17.987 eV per cell
space-group type = F-43m (216)
magnetic moment = 0.00 Bohr magnetons per cell

***

no.,energy above the most stable polymorph in this dataset (meV per atom)
1,0
2,0
3,2
4,0
5,0
6,0
7,232
8,0